Record 1
NdTaAs | the Open Quantum Materials Database | PBE | relaxed; energy = -7.07 eV/atom
1.0
6.5909 0.0000 0.0000
0.0000 6.5909 0.0000
0.0000 0.0000 6.5909
Nd Ta As
4 4 4
Direct
0.0000 0.0000 0.0000
0.0000 0.5000 0.5000
0.5000 0.0000 0.5000
0.5000 0.5000 0.0000
0.0000 0.0000 0.5000
0.0000 0.5000 0.0000
0.5000 0.0000 0.0000
0.5000 0.5000 0.5000
0.2500 0.2500 0.2500
0.2500 0.7500 0.7500
0.7500 0.2500 0.7500
0.7500 0.7500 0.2500

Record 2
TbNd2As3 | the Open Quantum Materials Database | PBE | relaxed; energy = -6.20 eV/atom
1.0
4.2245 0.0000 0.0000
-2.1122 3.6585 0.0000
0.0000 0.0000 10.3461
Tb Nd As
1 2 3
Direct
0.0000 0.0000 0.0000
0.3333 0.6667 0.3299
0.6667 0.3333 0.6701
0.0000 0.0000 0.5000
0.3333 0.6667 0.8403
0.6667 0.3333 0.1597

Record 3
TbNdAs | the Open Quantum Materials Database | PBE | relaxed; energy = -5.48 eV/atom
1.0
6.9569 0.0000 0.0000
0.0000 6.9569 0.0000
0.0000 0.0000 6.9569
Tb Nd As
4 4 4
Direct
0.0000 0.0000 0.0000
0.0000 0.5000 0.5000
0.5000 0.0000 0.5000
0.5000 0.5000 0.0000
0.0000 0.0000 0.5000
0.0000 0.5000 0.0000
0.5000 0.0000 0.0000
0.5000 0.5000 0.5000
0.2500 0.2500 0.7500
0.2500 0.7500 0.2500
0.7500 0.2500 0.2500
0.7500 0.7500 0.7500

Record 4
Tb2NdAs3 | the Open Quantum Materials Database | PBE | relaxed; energy = -6.19 eV/atom
1.0
4.1795 0.0000 0.0000
-2.0897 3.6195 0.0000
0.0000 0.0000 10.2307
Tb Nd As
2 1 3
Direct
0.3333 0.6667 0.3366
0.6667 0.3333 0.6634
0.0000 0.0000 0.0000
0.0000 0.0000 0.5000
0.3333 0.6667 0.8263
0.6667 0.3333 0.1737

Record 5
TbNdTe2As2 | the Open Quantum Materials Database | PBE | relaxed; energy = -5.33 eV/atom
1.0
4.1294 0.0000 0.0000
0.0000 4.1294 0.0000
0.0000 0.0000 9.2202
Tb Nd Te As
1 1 2 2
Direct
0.0000 0.0000 0.0000
0.5000 0.5000 0.5082
0.0000 0.0000 0.6353
0.5000 0.5000 0.8841
0.0000 0.5000 0.2495
0.5000 0.0000 0.2495

Record 6
NdTcAs | the Open Quantum Materials Database | PBE | relaxed; energy above the lowest structure with this stoichiometry = 0.871 eV per atom
1.0
6.7400 0.0000 0.0000
0.0000 6.7400 0.0000
0.0000 0.0000 6.7400
Nd Tc As
4 4 4
Direct
0.0000 0.0000 0.0000
0.0000 0.5000 0.5000
0.5000 0.0000 0.5000
0.5000 0.5000 0.0000
0.2500 0.2500 0.2500
0.2500 0.7500 0.7500
0.7500 0.2500 0.7500
0.7500 0.7500 0.2500
0.2500 0.2500 0.7500
0.2500 0.7500 0.2500
0.7500 0.2500 0.2500
0.7500 0.7500 0.7500

Record 7
NdTcAs | the Open Quantum Materials Database | PBE | relaxed; energy above the lowest structure with this stoichiometry = 0.000 eV per atom
1.0
6.5030 0.0000 0.0000
0.0000 6.5030 0.0000
0.0000 0.0000 6.5030
Nd Tc As
4 4 4
Direct
0.0000 0.0000 0.0000
0.0000 0.5000 0.5000
0.5000 0.0000 0.5000
0.5000 0.5000 0.0000
0.0000 0.0000 0.5000
0.0000 0.5000 0.0000
0.5000 0.0000 0.0000
0.5000 0.5000 0.5000
0.2500 0.2500 0.2500
0.2500 0.7500 0.7500
0.7500 0.2500 0.7500
0.7500 0.7500 0.2500

Record 8
Nd4Te3As | the Open Quantum Materials Database | PBE | relaxed; energy = -5.63 eV/atom
1.0
8.9905 0.0000 0.0000
0.0000 12.5955 0.0000
0.0000 0.0000 4.3983
Nd Te As
8 6 2
Direct
0.0000 0.2343 0.0000
0.0000 0.7657 0.0000
0.2249 0.0000 0.5000
0.2751 0.5000 0.5000
0.5000 0.2657 0.0000
0.5000 0.7343 0.0000
0.7249 0.5000 0.5000
0.7751 0.0000 0.5000
0.0000 0.5000 0.0000
0.2500 0.2500 0.5000
0.2500 0.7500 0.5000
0.5000 0.0000 0.0000
0.7500 0.2500 0.5000
0.7500 0.7500 0.5000
0.0000 0.0000 0.0000
0.5000 0.5000 0.0000

Record 9
Nd3Te2As | the Open Quantum Materials Database | PBE | relaxed; energy = -5.70 eV/atom
1.0
4.3855 0.0000 0.0000
-2.1928 3.7980 0.0000
0.0000 0.0000 11.0278
Nd Te As
3 2 1
Direct
0.0000 0.0000 0.0000
0.3333 0.6667 0.3560
0.6667 0.3333 0.6440
0.3333 0.6667 0.8266
0.6667 0.3333 0.1734
0.0000 0.0000 0.5000

Record 10
Nd3TeAs2 | the Open Quantum Materials Database | PBE | relaxed; energy = -6.01 eV/atom
1.0
4.3259 0.0000 0.0000
-2.1629 3.7463 0.0000
0.0000 0.0000 10.7782
Nd Te As
3 1 2
Direct
0.0000 0.0000 0.0000
0.3333 0.6667 0.3071
0.6667 0.3333 0.6929
0.0000 0.0000 0.5000
0.3333 0.6667 0.8391
0.6667 0.3333 0.1609

Record 11
NdTlTe3As | the Open Quantum Materials Database | PBE | relaxed; energy = -4.06 eV/atom
1.0
2.2460 -8.2678 0.0000
2.2460 8.2678 0.0000
0.0000 0.0000 10.8762
Nd Tl Te As
2 2 6 2
Direct
0.0000 0.0000 0.0000
0.0000 0.0000 0.5000
0.2484 0.7516 0.7500
0.7516 0.2484 0.2500
0.1075 0.8925 0.2500
0.3640 0.6360 0.0502
0.3640 0.6360 0.4498
0.6360 0.3640 0.5502
0.6360 0.3640 0.9498
0.8925 0.1075 0.7500
0.4594 0.5406 0.2500
0.5406 0.4594 0.7500

Record 12
Nd3ThAs4 | the Open Quantum Materials Database | PBE | relaxed; energy = -6.55 eV/atom
1.0
8.5333 0.0000 0.0000
0.0000 12.0605 0.0000
0.0000 0.0000 4.2709
Nd Th As
6 2 8
Direct
0.0000 0.0000 0.0000
0.2500 0.2500 0.5000
0.2500 0.7500 0.5000
0.5000 0.5000 0.0000
0.7500 0.2500 0.5000
0.7500 0.7500 0.5000
0.0000 0.5000 0.0000
0.5000 0.0000 0.0000
0.0000 0.2519 0.0000
0.0000 0.7481 0.0000
0.2474 0.5000 0.5000
0.2526 0.0000 0.5000
0.5000 0.2481 0.0000
0.5000 0.7519 0.0000
0.7474 0.0000 0.5000
0.7526 0.5000 0.5000